Compound: InGaS3
Source: Alexandria via LeMat-Bulk
Functional: meta-GGA SCAN
Structure: single point on PBEsol structure

Unit cell a=6.6801 b=6.6801 c=17.9085 alpha=90.00 beta=90.00 gamma=120.00
Fractional positions:
1 S 0.6812 0.6319 0.0259
2 S 0.0275 0.3754 0.9905
3 S 0.2963 0.2831 0.1640
4 S 0.6319 0.9507 0.8592
5 S 0.0132 0.2963 0.3307
6 S 0.3681 0.0493 0.3592
7 S 0.2831 0.9868 0.9974
8 S 0.7037 0.7169 0.6640
9 S 0.3188 0.3681 0.5259
10 S 0.9868 0.7037 0.8307
11 S 0.3478 0.9725 0.6572
12 S 0.7169 0.0132 0.4974
13 S 0.6522 0.0275 0.1572
14 S 0.9507 0.3188 0.6925
15 S 0.3754 0.3478 0.8239
16 S 0.9725 0.6246 0.4905
17 S 0.6246 0.6522 0.3239
18 S 0.0493 0.6812 0.1925
19 Ga 0.6707 0.9873 0.3690
20 Ga 0.6834 0.6707 0.5356
21 Ga 0.3293 0.0127 0.8690
22 Ga 0.0127 0.6834 0.7023
23 Ga 0.3166 0.3293 0.0356
24 Ga 0.9873 0.3166 0.2023
25 In 0.6719 0.6660 0.1753
26 In 0.9941 0.3281 0.8419
27 In 0.3340 0.0059 0.5086
28 In 0.0059 0.6719 0.3419
29 In 0.3281 0.3340 0.6753
30 In 0.6660 0.9941 0.0086

Properties
N(E_F) ... 0.00 states/eV/f.u.
Total magnetization ... 0.00 μB/f.u.
Calculated volume ... 692.1 Å³/cell
Crystal system ... hexagonal
SG ... P6_1 (169)
E_form (uncorrected) ... -0.74 eV/atom